(1)
Compound: CaTaZnCr2
Source: the Alexandria database
Functional: PBE
Structure: relaxed

```
CaTaZnCr2
1.0
-1.686 3.704 -2.355
-1.486 -3.139 -3.874
-4.178 -0.583 2.075
Cr Ta Ca Zn
2 1 1 1
Direct
0.500 0.000 0.000 Cr
0.000 0.000 0.500 Cr
0.000 0.000 0.000 Ta
0.500 0.500 0.500 Ca
0.000 0.500 0.000 Zn
```

Calculated values
* E_form: 0.9141 eV/atom
* D(E_F): 3.89 states/eV/cell
* density: 5.64 g cm⁻³
* calculated total energy: -5.9609 eV per atom

=====

(2)
Compound: CaTaZn2Cr
Source: the Alexandria database
Functional: PBE
Structure: relaxed

```
CaTaZn2Cr
1.0
5.117 0.000 0.000
0.000 4.600 0.000
0.000 0.000 5.117
Zn Ca Ta Cr
2 1 1 1
Direct
0.500 0.000 0.000 Zn
0.000 0.000 0.500 Zn
0.500 0.500 0.500 Ca
0.000 0.000 0.000 Ta
0.000 0.500 0.000 Cr
```

Calculated values
* E_form: 0.7099 eV/atom
* D(E_F): 4.00 states/eV/cell
* density: 5.57 g cm⁻³
* calculated total energy: -4.4952 eV per atom

=====

(3)
Compound: Ca2CrTc
Source: the Alexandria database
Functional: PBE
Structure: relaxed

```
Ca2CrTc
1.0
7.975 0.000 0.000
0.000 7.975 0.000
3.987 3.987 2.693
Tc Cr Ca
2 2 4
Direct
0.750 0.250 0.500 Tc
0.000 0.000 0.000 Tc
0.250 0.750 0.500 Cr
0.500 0.500 0.000 Cr
0.625 0.125 0.250 Ca
0.375 0.375 0.750 Ca
0.125 0.625 0.250 Ca
0.875 0.875 0.750 Ca
```

Calculated values
* E_form: 1.3761 eV/atom
* D(E_F): 12.91 states/eV/cell
* density: 4.46 g cm⁻³
* calculated total energy: -4.6220 eV per atom

=====

(4)
Compound: Ca2CrTc
Source: the Alexandria database
Functional: PBE
Structure: relaxed

```
Ca2CrTc
1.0
-0.606 -4.598 -2.933
4.934 -1.788 -1.606
-1.925 1.468 4.925
Cr Ca Tc
1 2 1
Direct
0.250 0.750 0.500 Cr
0.000 0.000 0.000 Ca
0.500 0.500 0.000 Ca
0.750 0.250 0.500 Tc
```

Calculated values
* E_form: 0.7927 eV/atom
* D(E_F): 4.81 states/eV/cell
* density: 4.23 g cm⁻³
* calculated total energy: -5.2054 eV per atom

=====

(5)
Compound: Ca3CrTc
Source: the Alexandria database
Functional: PBE
Structure: relaxed

```
Ca3CrTc
1.0
5.470 0.000 0.000
0.000 5.470 0.000
0.000 0.000 5.470
Ca Tc Cr
3 1 1
Direct
0.000 0.000 0.500 Ca
0.000 0.500 0.000 Ca
0.500 0.000 0.000 Ca
0.500 0.500 0.500 Tc
0.000 0.000 0.000 Cr
```

Calculated values
* E_form: 1.3131 eV/atom
* D(E_F): 3.95 states/eV/cell
* density: 2.74 g cm⁻³
* calculated total energy: -3.8857 eV per atom

=====

(6)
Compound: Ca2CrTc
Source: the Alexandria database
Functional: PBE
Structure: relaxed

```
Ca2CrTc
1.0
-6.046 -0.102 8.357
-7.084 -2.841 6.939
-4.447 -2.895 8.846
Ca Tc Cr
2 1 1
Direct
0.992 0.992 0.992 Ca
0.508 0.508 0.508 Ca
0.250 0.250 0.250 Tc
0.750 0.750 0.750 Cr
```

Calculated values
* E_form: 0.9265 eV/atom
* D(E_F): 3.70 states/eV/cell
* density: 4.11 g cm⁻³
* calculated total energy: -5.0716 eV per atom

=====

(7)
Compound: Ca2CrTc
Source: the Alexandria database
Functional: PBE
Structure: relaxed

```
Ca2CrTc
1.0
6.939 0.091 0.346
-2.776 4.723 0.106
1.387 0.752 2.865
Cr Ca Tc
1 2 1
Direct
0.000 0.500 0.500 Cr
0.500 0.000 0.500 Ca
0.000 0.000 0.000 Ca
0.500 0.500 0.000 Tc
```

Calculated values
* E_form: 0.8435 eV/atom
* D(E_F): 3.76 states/eV/cell
* density: 4.20 g cm⁻³
* calculated total energy: -5.1546 eV per atom

=====

(8)
Compound: Ca2CrTc
Source: the Alexandria database
Functional: PBE
Structure: relaxed

```
Ca2CrTc
1.0
-1.925 3.421 0.711
-2.253 0.378 3.270
5.056 4.038 5.450
Ca Tc Cr
2 1 1
Direct
0.784 0.784 0.649 Ca
0.967 0.967 0.101 Ca
0.208 0.208 0.376 Tc
0.542 0.542 0.374 Cr
```

Calculated values
* E_form: 0.3083 eV/atom
* D(E_F): 3.21 states/eV/cell
* density: 3.41 g cm⁻³
* calculated total energy: -5.6898 eV per atom